First-principles (GGA-PBE) data for a geometry-optimized Tb2Nd2Al structure, as listed in Alexandria via LeMat-Bulk.

Properties
- E above lowest polymorph (eV per atom) = 0.0000

Lattice parameters (Å, degrees): 3.575 3.575 12.085 98.50 98.50 90.00
Atoms (fractional coordinates):
Tb  0.420  0.420  0.839
Nd  0.192  0.192  0.385
Al  0.000  0.000  0.000
Nd  0.808  0.808  0.615
Tb  0.580  0.580  0.161

---

First-principles (GGA-PBE) data for a geometry-optimized Tb2NdAl structure, as listed in Alexandria via LeMat-Bulk.

Properties
- E above lowest polymorph (eV per atom) = 0.0141

Lattice parameters (Å, degrees): 3.708 5.346 11.618 90.00 90.00 90.00
Atoms (fractional coordinates):
Al  0.500  0.750  0.606
Tb  0.000  0.250  0.613
Tb  0.000  0.750  0.387
Nd  0.500  0.750  0.102
Tb  0.000  0.750  0.818
Al  0.500  0.250  0.394
Tb  0.000  0.250  0.182
Nd  0.500  0.250  0.898

---

First-principles (GGA-PBE) data for a geometry-optimized TbNd2Al structure, as listed in Alexandria via LeMat-Bulk.

Properties
- E above lowest polymorph (eV per atom) = 0.1615

Lattice parameters (Å, degrees): 3.679 3.679 10.893 80.28 80.28 60.00
Atoms (fractional coordinates):
Al  0.666  0.666  0.001
Tb  0.500  0.500  0.500
Nd  0.073  0.073  0.781
Nd  0.260  0.260  0.219

---

First-principles (GGA-PBE) data for a geometry-optimized Tb3Nd2Al structure, as listed in Alexandria via LeMat-Bulk.

Lattice parameters (Å, degrees): 4.894 4.842 7.954 107.72 90.00 90.00
Atoms (fractional coordinates):
Nd  0.000  0.341  0.682
Tb  0.500  0.839  0.678
Al  0.000  0.000  0.000
Nd  0.000  0.659  0.318
Tb  0.500  0.500  0.000
Tb  0.500  0.161  0.322

---

First-principles (GGA-PBE) data for a geometry-optimized Tb12Nd3Al structure, as listed in Alexandria via LeMat-Bulk.

Lattice parameters (Å, degrees): 4.983 4.983 20.226 90.00 90.00 90.00
Atoms (fractional coordinates):
Tb  0.000  0.500  0.884
Tb  0.500  0.500  0.500
Tb  0.500  0.000  0.628
Nd  0.000  0.000  0.754
Nd  0.000  0.000  0.246
Tb  0.500  0.500  0.759
Nd  0.000  0.000  0.500
Tb  0.500  0.000  0.884
Tb  0.000  0.500  0.628
Tb  0.000  0.500  0.372
Tb  0.500  0.500  0.241
Tb  0.000  0.500  0.116
Tb  0.500  0.000  0.372
Al  0.000  0.000  0.000
Tb  0.500  0.500  0.000
Tb  0.500  0.000  0.116

---

First-principles (GGA-PBE) data for a geometry-optimized Tb6Nd2Al structure, as listed in Alexandria via LeMat-Bulk.

Lattice parameters (Å, degrees): 3.530 10.239 9.525 122.51 100.64 90.00
Atoms (fractional coordinates):
Tb  0.822  0.664  0.645
Tb  0.178  0.336  0.355
Nd  0.855  0.354  0.709
Tb  0.178  0.019  0.355
Al  0.000  0.000  0.000
Nd  0.145  0.646  0.291
Tb  0.500  0.725  0.000
Tb  0.822  0.981  0.645
Tb  0.500  0.275  0.000

---

First-principles (GGA-PBE) data for a geometry-optimized Tb2NdAl structure, as listed in Alexandria via LeMat-Bulk.

Properties
- E above lowest polymorph (eV per atom) = 0.2703

Lattice parameters (Å, degrees): 3.493 3.493 11.731 81.44 81.44 60.00
Atoms (fractional coordinates):
Tb  0.101  0.101  0.696
Al  0.500  0.500  0.500
Nd  0.000  0.000  0.000
Tb  0.899  0.899  0.304

---

First-principles (GGA-PBE) data for a geometry-optimized Tb5NdAl structure, as listed in Alexandria via LeMat-Bulk.

Lattice parameters (Å, degrees): 11.034 6.527 7.109 117.33 140.91 90.00
Atoms (fractional coordinates):
Tb  0.353  0.767  0.000
Tb  0.091  0.500  0.000
Tb  0.353  0.233  0.000
Tb  0.332  0.248  0.496
Nd  0.743  0.000  0.000
Tb  0.837  0.752  0.504
Al  0.822  0.500  0.000

---

| no. | uncorrected energy (eV/cell) |
| --- | --- |
| 1 | -23.26 |
| 2 | -36.94 |
| 3 | -17.98 |
| 4 | -27.64 |
| 5 | -73.84 |
| 6 | -40.79 |
| 7 | -17.44 |
| 8 | -30.71 |